Record 1
Material: TbPrTlSn
Method: DFT, GGA-PBE
State: relaxed

a b c (Å): 4.4123 4.6608 11.7161
angles (deg): 90.00 90.00 90.00
Space group Amm2 (No. 38)
One atom of each set of equivalent atoms:
Tb 0.0000 0.0000 0.0000
Pr 0.5000 0.0000 0.2711
Tl 0.0000 0.0000 0.7247
Sn 0.5000 0.0000 0.5463

Electronic total energy ... -4.5025 eV/atom
Magnetic moment ... 0.00 Bohr magnetons per cell
ΔE_f ... -558 meV per atom

Record 2
Material: BaBI2O
Method: DFT, GGA-PBE
State: relaxed

a b c (Å): 6.0797 6.0797 3.4703
angles (deg): 90.00 90.00 90.00
Space group P4/mmm (No. 123)
One atom of each set of equivalent atoms:
Ba 0.0000 0.0000 0.0000
B 0.5000 0.5000 0.5000
I 0.0000 0.5000 0.5000
O 0.5000 0.5000 0.0000

Electronic total energy ... -3.7179 eV/atom
Magnetic moment ... 0.00 Bohr magnetons per cell
ΔE_f (raw) ... -0.39 eV/atom

Record 3
Material: NdZn2Cu
Method: DFT, GGA-PBE
State: relaxed

a b c (Å): 3.2168 3.2168 7.1580
angles (deg): 90.00 90.00 90.00
Space group P4/mmm (No. 123)
One atom of each set of equivalent atoms:
Nd 0.0000 0.0000 0.0000
Zn 0.5000 0.5000 0.3134
Cu 0.0000 0.0000 0.5000

Electronic total energy ... -2.9656 eV/atom
Magnetic moment ... 0.09 Bohr magnetons per cell
ΔE_f ... -113 meV per atom

Record 4
Material: LaAl3Ge
Method: DFT, GGA-PBE
State: relaxed

a b c (Å): 5.6149 5.6149 5.6149
angles (deg): 90.00 90.00 90.00
Space group Pm-3m (No. 221)
One atom of each set of equivalent atoms:
La 0.0000 0.0000 0.0000
Al 0.0000 0.0000 0.5000
Ge 0.5000 0.5000 0.5000

Electronic total energy ... -2.8087 eV/atom
Magnetic moment ... 0.00 Bohr magnetons per cell
ΔE_f ... 1346 meV per atom

Record 5
Material: AcTbEuEr
Method: DFT, GGA-PBE
State: relaxed

a b c (Å): 8.3809 8.3809 8.3809
angles (deg): 90.00 90.00 90.00
Space group F-43m (No. 216)
One atom of each set of equivalent atoms:
Ac 0.0000 0.0000 0.0000
Tb 0.0000 0.0000 0.5000
Eu 0.2500 0.2500 0.2500
Er 0.2500 0.2500 0.7500

Electronic total energy ... -5.7509 eV/atom
Magnetic moment ... 31.13 Bohr magnetons per cell
ΔE_f ... 143 meV per atom

Record 6
Material: SiP2Rh
Method: DFT, GGA-PBE
State: relaxed

a b c (Å): 3.0646 3.0646 6.6266
angles (deg): 90.00 90.00 90.00
Space group P4mm (No. 99)
One atom of each set of equivalent atoms:
Si 0.0000 0.0000 0.0000
P 0.0000 0.0000 0.5667
P 0.5000 0.5000 0.1610
Rh 0.5000 0.5000 0.7621

Electronic total energy ... -5.8557 eV/atom
Magnetic moment ... 0.00 Bohr magnetons per cell
ΔE_f (raw) ... 0.04 eV/atom

Number 1: density 8586 kg/m³. Number 2: density 5411 kg/m³. Number 3: density 7591 kg/m³. Number 4: density 2744 kg/m³. Number 5: density 7957 kg/m³. Number 6: density 5148 kg/m³.